# Ce2Zn4CdAu3, relaxed, DFT PBE
# Energy of formation (eV per formula unit): -4.074
data_Ce2Zn4CdAu3
_symmetry_space_group_name_H-M 'P -4 m 2'
_symmetry_Int_Tables_number 115
_symmetry_space_group_name_Hall 'P -4 -2'
_cell_length_a 4.224
_cell_length_b 4.224
_cell_length_c 11.712
_cell_angle_alpha 90.00
_cell_angle_beta 90.00
_cell_angle_gamma 90.00
loop_
_atom_site_label
_atom_site_type_symbol
_atom_site_fract_x
_atom_site_fract_y
_atom_site_fract_z
Ce1 Ce 0.000 0.500 0.242
Zn1 Zn 0.000 0.000 0.000
Zn2 Zn 0.000 0.500 0.642
Zn3 Zn 0.500 0.500 0.000
Cd1 Cd 0.000 0.000 0.500
Au1 Au 0.000 0.500 0.861
Au2 Au 0.500 0.500 0.500

# CdAuCl, relaxed, DFT PBE
# Excess energy over the best structure of this formula in the dataset (eV/f.u.): 0.000
# E_form (uncorrected) (eV/atom): -0.331
data_CdAuCl
_symmetry_space_group_name_H-M 'P 3 m 1'
_symmetry_Int_Tables_number 156
_symmetry_space_group_name_Hall 'P 3 -2"'
_cell_length_a 3.7125
_cell_length_b 3.7125
_cell_length_c 5.8869
_cell_angle_alpha 90.00
_cell_angle_beta 90.00
_cell_angle_gamma 120.00
loop_
_atom_site_label
_atom_site_type_symbol
_atom_site_fract_x
_atom_site_fract_y
_atom_site_fract_z
Cd1 Cd 0.0000 0.0000 0.0000
Au1 Au 0.3333 0.6667 0.7028
Cl1 Cl 0.6667 0.3333 0.2962

# CdAuCl, relaxed, DFT PBE
# Excess energy over the best structure of this formula in the dataset (eV/f.u.): 0.215
# E_form (uncorrected) (eV/atom): -0.260
data_CdAuCl
_symmetry_space_group_name_H-M 'A m m 2'
_symmetry_Int_Tables_number 38
_symmetry_space_group_name_Hall 'A 2 -2'
_cell_length_a 13.198
_cell_length_b 3.642
_cell_length_c 6.157
_cell_angle_alpha 90.00
_cell_angle_beta 90.00
_cell_angle_gamma 90.00
loop_
_atom_site_label
_atom_site_type_symbol
_atom_site_fract_x
_atom_site_fract_y
_atom_site_fract_z
Cd1 Cd 0.000 0.000 0.000
Cd2 Cd 0.500 0.000 0.158
Au1 Au 0.358 0.000 0.821
Cl1 Cl 0.127 0.000 0.337

# CdAuCl, relaxed, DFT PBE
# Excess energy over the best structure of this formula in the dataset (eV/f.u.): 0.323
# E_form (uncorrected) (eV/atom): -0.224
data_CdAuCl
_symmetry_space_group_name_H-M 'F m m 2'
_symmetry_Int_Tables_number 42
_symmetry_space_group_name_Hall 'F 2 -2'
_cell_length_a 4.622
_cell_length_b 4.663
_cell_length_c 12.261
_cell_angle_alpha 90.00
_cell_angle_beta 90.00
_cell_angle_gamma 90.00
loop_
_atom_site_label
_atom_site_type_symbol
_atom_site_fract_x
_atom_site_fract_y
_atom_site_fract_z
Cd1 Cd 0.000 0.000 0.000
Au1 Au 0.000 0.000 0.360
Cl1 Cl 0.000 0.000 0.640

# CdAu3Cl, relaxed, DFT PBE
# Excess energy over the best structure of this formula in the dataset (eV/f.u.): 0.000
# E_form (uncorrected) (eV/atom): 0.693
data_CdAu3Cl
_symmetry_space_group_name_H-M 'P m -3 m'
_symmetry_Int_Tables_number 221
_symmetry_space_group_name_Hall '-P 4 2 3'
_cell_length_a 5.223
_cell_length_b 5.223
_cell_length_c 5.223
_cell_angle_alpha 90.00
_cell_angle_beta 90.00
_cell_angle_gamma 90.00
loop_
_atom_site_label
_atom_site_type_symbol
_atom_site_fract_x
_atom_site_fract_y
_atom_site_fract_z
Cd1 Cd 0.000 0.000 0.000
Au1 Au 0.000 0.000 0.500
Cl1 Cl 0.500 0.500 0.500

# CdAuCl3, relaxed, DFT PBE
# Excess energy over the best structure of this formula in the dataset (eV/f.u.): 0.200
# E_form (uncorrected) (eV/atom): -0.166
data_CdAuCl3
_symmetry_space_group_name_H-M 'P m -3 m'
_symmetry_Int_Tables_number 221
_symmetry_space_group_name_Hall '-P 4 2 3'
_cell_length_a 5.069
_cell_length_b 5.069
_cell_length_c 5.069
_cell_angle_alpha 90.00
_cell_angle_beta 90.00
_cell_angle_gamma 90.00
loop_
_atom_site_label
_atom_site_type_symbol
_atom_site_fract_x
_atom_site_fract_y
_atom_site_fract_z
Cd1 Cd 0.000 0.000 0.000
Au1 Au 0.500 0.500 0.500
Cl1 Cl 0.000 0.500 0.500

no.,total magnetic moment (μB/f.u.)
1,1.790
2,0.000
3,0.000
4,0.000
5,0.000
6,0.000